(1)
Computed, not measured: an optimized crystal structure of LaPmTmPb at the PBE-GGA level of DFT.

Output
Symmetry = No. 216
Mass density = 8.75 g/cm3
Volume = 125.2 Å³/cell
DFT formation energy = -0.1644 eV/atom

Cell lengths 5.6154, 5.6154, 5.6154 Å; angles 60.00, 60.00, 60.00 degrees
With the nearest neighbours (Å) after each atom.
Atoms (fractional coordinates):
Pb: 0.2500 0.2500 0.2500  4 La 3.44, 4 Pm 3.44
Tm: 0.7500 0.7500 0.7500  4 La 3.44, 4 Pm 3.44
La: 0.5000 0.5000 0.5000  4 Tm 3.44, 4 Pb 3.44
Pm: 0.0000 0.0000 0.0000  4 Pb 3.44, 4 Tm 3.44

=====

(2)
Computed, not measured: an optimized crystal structure of LaPm2Zn2Pb2 at the PBE-GGA level of DFT.

Output
Symmetry = No. 166
Mass density = 8.29 g/cm3
Volume = 195.2 Å³/cell
DFT formation energy = -0.2578 eV/atom

Cell lengths 4.8239, 4.8239, 10.0802 Å; angles 76.16, 76.16, 60.00 degrees
With the nearest neighbours (Å) after each atom.
Atoms (fractional coordinates):
La: 0.0000 0.0000 0.0000  6 Pb 3.38
Pm: 0.1329 0.1329 0.6013  3 Zn 3.01
Pm: 0.8671 0.8671 0.3987  3 Zn 3.01
Zn: 0.5729 0.5729 0.2814  3 Pb 2.90, 3 Pm 3.01
Zn: 0.4271 0.4271 0.7186  3 Pb 2.90, 3 Pm 3.01
Pb: 0.7325 0.7325 0.8026  3 Zn 2.90
Pb: 0.2675 0.2675 0.1974  3 Zn 2.90

=====

(3)
Computed, not measured: an optimized crystal structure of LaPr6Pb at the PBE-GGA level of DFT.

Output
Symmetry = No. 123
Mass density = 7.22 g/cm3
Volume = 274.1 Å³/cell
DFT formation energy = -0.1437 eV/atom

Cell lengths 5.0789, 5.0789, 10.6243 Å; angles 90.00, 90.00, 90.00 degrees
With the nearest neighbours (Å) after each atom.
Atoms (fractional coordinates):
La: 0.0000 0.0000 0.5000  12 Pr 3.59-3.74
Pr: 0.5000 0.5000 0.0000  4 Pb 3.59, 8 Pr 3.61
Pr: 0.5000 0.5000 0.5000  4 La 3.59, 8 Pr 3.74
Pr: 0.5000 0.0000 0.2410  8 Pr 3.59-3.74, 2 Pb 3.61, 2 La 3.74
Pr: 0.5000 0.0000 0.7590  8 Pr 3.59-3.74, 2 Pb 3.61, 2 La 3.74
Pr: 0.0000 0.5000 0.2410  8 Pr 3.59-3.74, 2 Pb 3.61, 2 La 3.74
Pr: 0.0000 0.5000 0.7590  8 Pr 3.59-3.74, 2 Pb 3.61, 2 La 3.74
Pb: 0.0000 0.0000 0.0000  12 Pr 3.59-3.61

=====

(4)
Computed, not measured: an optimized crystal structure of LaPr2Pb at the PBE-GGA level of DFT.

Output
Symmetry = No. 166
Polymorph energy (0 for the lowest one) = 8.321 kcal/mol of atoms
Mass density = 7.58 g/cm3
Volume = 137.5 Å³/cell
DFT formation energy = -0.0004 eV/atom

Cell lengths 3.5796, 3.5796, 12.5609 Å; angles 81.81, 81.81, 60.00 degrees
With the nearest neighbours (Å) after each atom.
Atoms (fractional coordinates):
Pb: 0.5000 0.5000 0.5000  6 Pr 3.44, 6 Pb 3.58
Pr: 0.0928 0.0928 0.7217  3 Pb 3.44, 1 La 3.45, 6 Pr 3.58
Pr: 0.9072 0.9072 0.2783  3 Pb 3.44, 1 La 3.45, 6 Pr 3.58
La: 0.0000 0.0000 0.0000  2 Pr 3.45, 6 La 3.58

=====

(5)
Computed, not measured: an optimized crystal structure of La2Pr5Pb at the PBE-GGA level of DFT.

Output
Symmetry = No. 71
Mass density = 6.93 g/cm3
Volume = 285.1 Å³/cell
DFT formation energy = -0.0133 eV/atom

Cell lengths 3.7416, 8.6806, 9.9688 Å; angles 115.81, 100.82, 90.00 degrees
With the nearest neighbours (Å) after each atom.
Atoms (fractional coordinates):
La: 0.2136 0.7137 0.4273  7 Pr 3.49-3.75, 2 La 3.74
La: 0.7864 0.2863 0.5727  7 Pr 3.49-3.75, 2 La 3.74
Pr: 0.0000 0.5000 0.0000  10 Pr 3.73-3.74, 2 La 3.75
Pr: 0.6186 0.3349 0.2372  2 Pb 3.37, 3 La 3.49-3.51, 5 Pr 3.73-3.75
Pr: 0.3814 0.6651 0.7628  2 Pb 3.37, 3 La 3.49-3.51, 5 Pr 3.73-3.75
Pr: 0.6186 0.9024 0.2372  2 Pb 3.37, 3 La 3.49-3.51, 5 Pr 3.73-3.75
Pr: 0.3814 0.0976 0.7628  2 Pb 3.37, 3 La 3.49-3.51, 5 Pr 3.73-3.75
Pb: 0.0000 0.0000 0.0000  8 Pr 3.37, 2 Pb 3.74

=====

(6)
Computed, not measured: an optimized crystal structure of La2PrPb at the PBE-GGA level of DFT.

Output
Symmetry = No. 123
Polymorph energy (0 for the lowest one) = 2.023 kcal/mol of atoms
Mass density = 7.62 g/cm3
Volume = 136.4 Å³/cell
DFT formation energy = -0.2887 eV/atom

Cell lengths 4.3782, 4.3782, 7.1136 Å; angles 90.00, 90.00, 90.00 degrees
With the nearest neighbours (Å) after each atom.
Atoms (fractional coordinates):
Pb: 0.5000 0.5000 0.5000  8 La 3.48, 2 Pr 3.56
Pr: 0.5000 0.5000 0.0000  2 Pb 3.56, 8 La 3.67
La: 0.0000 0.0000 0.7234  1 La 3.18, 4 Pb 3.48
La: 0.0000 0.0000 0.2766  1 La 3.18, 4 Pb 3.48

=====

(7)
Computed, not measured: an optimized crystal structure of La3Pr2Pb4 at the PBE-GGA level of DFT.

Output
Symmetry = No. 12
Mass density = 8.26 g/cm3
Volume = 307.0 Å³/cell
DFT formation energy = -0.5288 eV/atom

Cell lengths 5.1658, 7.0802, 9.0283 Å; angles 103.42, 106.62, 90.00 degrees
With the nearest neighbours (Å) after each atom.
Atoms (fractional coordinates):
La: 0.1164 0.5731 0.2328  7 Pb 3.38-3.61
La: 0.8836 0.4269 0.7672  7 Pb 3.38-3.61
La: 0.0000 0.0000 0.0000  4 Pb 3.28
Pr: 0.6642 0.0818 0.3284  5 Pb 3.18-3.42
Pr: 0.3358 0.9182 0.6716  5 Pb 3.18-3.42
Pb: 0.4957 0.7131 0.9915  1 Pb 3.06, 2 La 3.28, 2 Pr 3.41-3.42
Pb: 0.2504 0.2958 0.5008  3 Pr 3.18-3.35, 3 La 3.38-3.44
Pb: 0.5043 0.2869 0.0085  1 Pb 3.06, 2 La 3.28, 2 Pr 3.41-3.42
Pb: 0.7496 0.7042 0.4992  3 Pr 3.18-3.35, 3 La 3.38-3.44

=====

(8)
Computed, not measured: an optimized crystal structure of LaPrPb at the PBE-GGA level of DFT.

Output
Symmetry = No. 156
Polymorph energy (0 for the lowest one) = 4.423 kcal/mol of atoms
Mass density = 8.07 g/cm3
Volume = 100.2 Å³/cell
DFT formation energy = -0.2720 eV/atom

Cell lengths 3.9871, 5.3875, 5.3875 Å; angles 120.00, 90.00, 90.00 degrees
With the nearest neighbours (Å) after each atom.
Atoms (fractional coordinates):
Pb: 0.6903 0.6667 0.3333  3 Pr 3.27, 3 La 3.37
Pr: 0.9418 0.0000 0.0000  3 Pb 3.27, 3 La 3.54
La: 0.3679 0.3333 0.6667  3 Pb 3.37, 3 Pr 3.54

=====

(9)
Computed, not measured: an optimized crystal structure of La9PrPb2 at the PBE-GGA level of DFT.

Output
Symmetry = No. 123
Mass density = 7.34 g/cm3
Volume = 408.5 Å³/cell
DFT formation energy = -0.2396 eV/atom

Cell lengths 5.1088, 5.1088, 15.6506 Å; angles 90.00, 90.00, 90.00 degrees
With the nearest neighbours (Å) after each atom.
Atoms (fractional coordinates):
La: 0.5000 0.5000 0.0000  4 Pr 3.61, 8 La 3.73
La: 0.5000 0.5000 0.3393  8 La 3.58-3.64, 4 Pb 3.61
La: 0.5000 0.5000 0.6607  8 La 3.58-3.64, 4 Pb 3.61
La: 0.5000 0.0000 0.1738  8 La 3.61-3.73, 2 Pb 3.62, 2 Pr 3.73
La: 0.5000 0.0000 0.5000  8 La 3.58-3.61, 4 Pb 3.61
La: 0.5000 0.0000 0.8262  8 La 3.61-3.73, 2 Pb 3.62, 2 Pr 3.73
La: 0.0000 0.5000 0.1738  8 La 3.61-3.73, 2 Pb 3.62, 2 Pr 3.73
La: 0.0000 0.5000 0.5000  8 La 3.58-3.61, 4 Pb 3.61
La: 0.0000 0.5000 0.8262  8 La 3.61-3.73, 2 Pb 3.62, 2 Pr 3.73
Pr: 0.0000 0.0000 0.0000  12 La 3.61-3.73
Pb: 0.0000 0.0000 0.3374  12 La 3.61-3.62
Pb: 0.0000 0.0000 0.6626  12 La 3.61-3.62

=====

(10)
Computed, not measured: an optimized crystal structure of LaPr5Pb6 at the PBE-GGA level of DFT.

Output
Symmetry = No. 71
Mass density = 9.35 g/cm3
Volume = 370.7 Å³/cell
DFT formation energy = -0.5331 eV/atom

Cell lengths 5.1421, 10.6191, 9.4021 Å; angles 55.62, 74.13, 61.03 degrees
With the nearest neighbours (Å) after each atom.
Atoms (fractional coordinates):
La: 0.0000 0.0000 0.0000  8 Pb 3.47-3.49, 4 Pr 3.65
Pr: 0.5000 0.1673 0.6655  8 Pb 3.46-3.49, 2 Pr 3.65, 2 La 3.65
Pr: 0.0000 0.3338 0.3324  8 Pb 3.46-3.48, 4 Pr 3.64-3.65
Pr: 0.5000 0.5000 0.0000  8 Pb 3.46-3.48, 4 Pr 3.64
Pr: 0.0000 0.6662 0.6676  8 Pb 3.46-3.48, 4 Pr 3.64-3.65
Pr: 0.5000 0.8327 0.3345  8 Pb 3.46-3.49, 2 Pr 3.65, 2 La 3.65
Pb: 0.7496 0.0829 0.3349  7 Pr 3.46-3.48, 1 La 3.49, 4 Pb 3.63-3.66
Pb: 0.2504 0.5822 0.3349  7 Pr 3.46-3.48, 1 La 3.49, 4 Pb 3.63-3.66
Pb: 0.2489 0.2510 0.0000  6 Pr 3.46-3.49, 2 La 3.47, 4 Pb 3.66
Pb: 0.7511 0.7490 0.0000  6 Pr 3.46-3.49, 2 La 3.47, 4 Pb 3.66
Pb: 0.7496 0.4178 0.6651  7 Pr 3.46-3.48, 1 La 3.49, 4 Pb 3.63-3.66
Pb: 0.2504 0.9171 0.6651  7 Pr 3.46-3.48, 1 La 3.49, 4 Pb 3.63-3.66

=====

(11)
Computed, not measured: an optimized crystal structure of LaPr2Pb at the PBE-GGA level of DFT.

Output
Symmetry = No. 123
Polymorph energy (0 for the lowest one) = 2.387 kcal/mol of atoms
Mass density = 7.86 g/cm3
Volume = 132.7 Å³/cell
DFT formation energy = -0.2577 eV/atom

Cell lengths 4.2788, 4.2788, 7.2457 Å; angles 90.00, 90.00, 90.00 degrees
With the nearest neighbours (Å) after each atom.
Atoms (fractional coordinates):
Pb: 0.5000 0.5000 0.5000  8 Pr 3.43, 2 La 3.62
Pr: 0.0000 0.0000 0.7222  1 Pr 3.22, 4 Pb 3.43
Pr: 0.0000 0.0000 0.2778  1 Pr 3.22, 4 Pb 3.43
La: 0.5000 0.5000 0.0000  2 Pb 3.62, 8 Pr 3.63

=====

(12)
Computed, not measured: an optimized crystal structure of LaPrPb at the PBE-GGA level of DFT.

Output
Symmetry = No. 107
Polymorph energy (0 for the lowest one) = 1.400 kcal/mol of atoms
Mass density = 8.49 g/cm3
Volume = 95.3 Å³/cell
DFT formation energy = -0.4030 eV/atom

Cell lengths 4.3233, 4.3233, 5.9435 Å; angles 111.33, 111.33, 90.00 degrees
With the nearest neighbours (Å) after each atom.
Atoms (fractional coordinates):
Pb: 0.2822 0.2822 0.5644  5 Pr 3.43-3.55, 5 La 3.44-3.51
Pr: 0.6302 0.6302 0.2604  1 La 3.13, 4 Pb 3.43
La: 0.9376 0.9376 0.8752  1 Pr 3.13, 4 Pb 3.44

=====

Please write out number 6 again, unchanged.
Computed, not measured: an optimized crystal structure of La2PrPb at the PBE-GGA level of DFT.

Output
Symmetry = No. 123
Polymorph energy (0 for the lowest one) = 2.023 kcal/mol of atoms
Mass density = 7.62 g/cm3
Volume = 136.4 Å³/cell
DFT formation energy = -0.2887 eV/atom

Cell lengths 4.3782, 4.3782, 7.1136 Å; angles 90.00, 90.00, 90.00 degrees
With the nearest neighbours (Å) after each atom.
Atoms (fractional coordinates):
Pb: 0.5000 0.5000 0.5000  8 La 3.48, 2 Pr 3.56
Pr: 0.5000 0.5000 0.0000  2 Pb 3.56, 8 La 3.67
La: 0.0000 0.0000 0.7234  1 La 3.18, 4 Pb 3.48
La: 0.0000 0.0000 0.2766  1 La 3.18, 4 Pb 3.48